No. 1
Entry from the Alexandria database: a relaxed PmGdSi crystal (PBE-GGA).

Fermi-level density of states in states/eV/cell: 13.836
Total moment in μB per formula unit: 7.7

CIF file:
```
data_PmGdSi
_chemical_formula_sum 'Pm4 Gd4 Si4'
_cell_length_a 6.978
_cell_length_b 6.978
_cell_length_c 6.978
_cell_angle_alpha 90.00
_cell_angle_beta 90.00
_cell_angle_gamma 90.00
_space_group_name_H-M_alt 'F -4 3 m'
_space_group_IT_number 216
_space_group_name_Hall 'F -4 2 3'
loop_
_atom_site_label
_atom_site_type_symbol
_atom_site_fract_x
_atom_site_fract_y
_atom_site_fract_z
_atom_site_occupancy
Pm1 Pm 0.000 0.000 0.000 1
Gd1 Gd 0.000 0.000 0.500 1
Si1 Si 0.250 0.250 0.250 1
```

=====

No. 2
Entry from the Alexandria database: a relaxed PmGdSi4 crystal (PBE-GGA).

Fermi-level density of states in states/eV/cell: 19.652
Total moment in μB per formula unit: 6.9

CIF file:
```
data_PmGdSi4
_chemical_formula_sum 'Pm4 Gd4 Si16'
_cell_length_a 7.612
_cell_length_b 7.612
_cell_length_c 7.612
_cell_angle_alpha 90.00
_cell_angle_beta 90.00
_cell_angle_gamma 90.00
_space_group_name_H-M_alt 'F -4 3 m'
_space_group_IT_number 216
_space_group_name_Hall 'F -4 2 3'
loop_
_atom_site_label
_atom_site_type_symbol
_atom_site_fract_x
_atom_site_fract_y
_atom_site_fract_z
_atom_site_occupancy
Pm1 Pm 0.000 0.000 0.000 1
Gd1 Gd 0.250 0.250 0.250 1
Si1 Si 0.125 0.125 0.625 1
```

=====

Number 1: E -8.547 eV/atom, mass density 6.5 g/cm3, uncorrected formation energy -0.46 eV per atom. Number 2: E -7.078 eV/atom, mass density 6.2 g/cm3, uncorrected formation energy -0.32 eV per atom.